No. 1
# GGA-PBE InAg4Te, optimized geometry
# Mass density   8.57 g cm⁻³
# E_tot   -2.815 eV/atom
# ΔE_f (raw)   0.066 eV/atom
data_InAg4Te
_chemical_formula_sum 'In1 Ag4 Te1'
_cell_length_a 5.6945
_cell_length_b 5.6945
_cell_length_c 5.6945
_cell_angle_alpha 60.00
_cell_angle_beta 60.00
_cell_angle_gamma 60.00
_space_group_name_H-M_alt 'P 1'
_space_group_IT_number 1
loop_
_space_group_symop_operation_xyz
'x,y,z'
loop_
_atom_site_label
_atom_site_type_symbol
_atom_site_fract_x
_atom_site_fract_y
_atom_site_fract_z
_atom_site_occupancy
In1 In 0.0000 0.0000 0.0000 1
Ag1 Ag 0.3747 0.3747 0.3747 1
Ag2 Ag 0.3747 0.3747 0.8760 1
Ag3 Ag 0.3747 0.8760 0.3747 1
Ag4 Ag 0.8760 0.3747 0.3747 1
Te1 Te 0.7500 0.7500 0.7500 1

No. 2
# GGA-PBE Cs4NbSe4, optimized geometry
# Mass density   3.08 g cm⁻³
# E_tot   -4.059 eV/atom
# ΔE_f (raw)   -1.012 eV/atom
data_Cs4NbSe4
_chemical_formula_sum 'Cs4 Nb1 Se4'
_cell_length_a 9.1779
_cell_length_b 9.1779
_cell_length_c 9.1779
_cell_angle_alpha 124.30
_cell_angle_beta 124.30
_cell_angle_gamma 82.71
_space_group_name_H-M_alt 'P 1'
_space_group_IT_number 1
loop_
_space_group_symop_operation_xyz
'x,y,z'
loop_
_atom_site_label
_atom_site_type_symbol
_atom_site_fract_x
_atom_site_fract_y
_atom_site_fract_z
_atom_site_occupancy
Cs1 Cs 0.0000 0.5000 0.5000 1
Cs2 Cs 0.1920 0.1920 0.0000 1
Cs3 Cs 0.5000 0.0000 0.5000 1
Cs4 Cs 0.8080 0.8080 0.0000 1
Nb1 Nb 0.5000 0.5000 0.0000 1
Se1 Se 0.2288 0.2288 0.6640 1
Se2 Se 0.4352 0.7712 0.0000 1
Se3 Se 0.5648 0.5648 0.3360 1
Se4 Se 0.7712 0.4352 0.0000 1

No. 3
# GGA-PBE MgPt2Au, optimized geometry
# Mass density   15.52 g cm⁻³
# E_tot   -4.676 eV/atom
# Energy of formation from the pure elements   -1.75 eV/f.u.
data_MgPt2Au
_chemical_formula_sum 'Mg2 Pt4 Au2'
_cell_length_a 9.5254
_cell_length_b 2.8943
_cell_length_c 4.8510
_cell_angle_alpha 90.00
_cell_angle_beta 101.93
_cell_angle_gamma 90.00
_space_group_name_H-M_alt 'P 1'
_space_group_IT_number 1
loop_
_space_group_symop_operation_xyz
'x,y,z'
loop_
_atom_site_label
_atom_site_type_symbol
_atom_site_fract_x
_atom_site_fract_y
_atom_site_fract_z
_atom_site_occupancy
Mg1 Mg 0.0000 0.0000 0.0000 1
Mg2 Mg 0.5000 0.5000 0.0000 1
Pt1 Pt 0.2447 0.5000 0.2456 1
Pt2 Pt 0.2553 0.0000 0.7544 1
Pt3 Pt 0.7447 0.0000 0.2456 1
Pt4 Pt 0.7553 0.5000 0.7544 1
Au1 Au 0.0000 0.5000 0.5000 1
Au2 Au 0.5000 0.0000 0.5000 1

No. 4
# GGA-PBE CsBaSbS3, optimized geometry
# Mass density   3.96 g cm⁻³
# E_tot   -4.270 eV/atom
# ΔE_f (raw)   -1.056 eV/atom
data_CsBaSbS3
_chemical_formula_sum 'Cs2 Ba2 Sb2 S6'
_cell_length_a 9.0864
_cell_length_b 9.0864
_cell_length_c 9.3418
_cell_angle_alpha 104.18
_cell_angle_beta 104.18
_cell_angle_gamma 33.27
_space_group_name_H-M_alt 'P 1'
_space_group_IT_number 1
loop_
_space_group_symop_operation_xyz
'x,y,z'
loop_
_atom_site_label
_atom_site_type_symbol
_atom_site_fract_x
_atom_site_fract_y
_atom_site_fract_z
_atom_site_occupancy
Cs1 Cs 0.1408 0.1408 0.0679 1
Cs2 Cs 0.8592 0.8592 0.9321 1
Ba1 Ba 0.1568 0.1568 0.5766 1
Ba2 Ba 0.8432 0.8432 0.4234 1
Sb1 Sb 0.5000 0.5000 0.3309 1
Sb2 Sb 0.5000 0.5000 0.6691 1
S1 S 0.0030 0.0030 0.2977 1
S2 S 0.3440 0.3440 0.6455 1
S3 S 0.3525 0.3525 0.2071 1
S4 S 0.6475 0.6475 0.7929 1
S5 S 0.6560 0.6560 0.3545 1
S6 S 0.9970 0.9970 0.7023 1

No. 5
# GGA-PBE LuPuTh, optimized geometry
# Mass density   12.22 g cm⁻³
# E_tot   -8.567 eV/atom
# Energy of formation from the pure elements   0.57 eV/f.u.
data_LuPuTh
_chemical_formula_sum 'Lu2 Pu2 Th2'
_cell_length_a 4.0142
_cell_length_b 4.0142
_cell_length_c 10.9805
_cell_angle_alpha 90.00
_cell_angle_beta 90.00
_cell_angle_gamma 90.00
_space_group_name_H-M_alt 'P 1'
_space_group_IT_number 1
loop_
_space_group_symop_operation_xyz
'x,y,z'
loop_
_atom_site_label
_atom_site_type_symbol
_atom_site_fract_x
_atom_site_fract_y
_atom_site_fract_z
_atom_site_occupancy
Lu1 Lu 0.0000 0.0000 0.0000 1
Lu2 Lu 0.5000 0.5000 0.5000 1
Pu1 Pu 0.0000 0.0000 0.6559 1
Pu2 Pu 0.5000 0.5000 0.1559 1
Th1 Th 0.0000 0.0000 0.3212 1
Th2 Th 0.5000 0.5000 0.8212 1

No. 6
# GGA-PBE Mg4Te5, optimized geometry
# Mass density   5.13 g cm⁻³
# E_tot   -2.862 eV/atom
# ΔE_f (raw)   -0.408 eV/atom
data_Mg4Te5
_chemical_formula_sum 'Mg8 Te10'
_cell_length_a 9.3964
_cell_length_b 9.3964
_cell_length_c 6.2207
_cell_angle_alpha 90.00
_cell_angle_beta 90.00
_cell_angle_gamma 120.00
_space_group_name_H-M_alt 'P 1'
_space_group_IT_number 1
loop_
_space_group_symop_operation_xyz
'x,y,z'
loop_
_atom_site_label
_atom_site_type_symbol
_atom_site_fract_x
_atom_site_fract_y
_atom_site_fract_z
_atom_site_occupancy
Mg1 Mg 0.0000 0.0000 0.0000 1
Mg2 Mg 0.0000 0.0000 0.5000 1
Mg3 Mg 0.0000 0.3553 0.2500 1
Mg4 Mg 0.0000 0.6447 0.7500 1
Mg5 Mg 0.3553 0.0000 0.2500 1
Mg6 Mg 0.3553 0.3553 0.7500 1
Mg7 Mg 0.6447 0.0000 0.7500 1
Mg8 Mg 0.6447 0.6447 0.2500 1
Te1 Te 0.0000 0.2655 0.7500 1
Te2 Te 0.0000 0.7345 0.2500 1
Te3 Te 0.2655 0.0000 0.7500 1
Te4 Te 0.2655 0.2655 0.2500 1
Te5 Te 0.3333 0.6667 0.0000 1
Te6 Te 0.3333 0.6667 0.5000 1
Te7 Te 0.6667 0.3333 0.0000 1
Te8 Te 0.6667 0.3333 0.5000 1
Te9 Te 0.7345 0.0000 0.2500 1
Te10 Te 0.7345 0.7345 0.7500 1

No. 7
# GGA-PBE TiRhW2, optimized geometry
# Mass density   12.60 g cm⁻³
# E_tot   -9.764 eV/atom
# Energy of formation from the pure elements   2.10 eV/f.u.
data_TiRhW2
_chemical_formula_sum 'Ti4 Rh4 W8'
_cell_length_a 7.2854
_cell_length_b 7.2854
_cell_length_c 5.1483
_cell_angle_alpha 90.00
_cell_angle_beta 90.00
_cell_angle_gamma 90.00
_space_group_name_H-M_alt 'P 1'
_space_group_IT_number 1
loop_
_space_group_symop_operation_xyz
'x,y,z'
loop_
_atom_site_label
_atom_site_type_symbol
_atom_site_fract_x
_atom_site_fract_y
_atom_site_fract_z
_atom_site_occupancy
Ti1 Ti 0.0000 0.0000 0.0000 1
Ti2 Ti 0.0000 0.5000 0.2500 1
Ti3 Ti 0.5000 0.0000 0.7500 1
Ti4 Ti 0.5000 0.5000 0.5000 1
Rh1 Rh 0.0000 0.0000 0.5000 1
Rh2 Rh 0.0000 0.5000 0.7500 1
Rh3 Rh 0.5000 0.0000 0.2500 1
Rh4 Rh 0.5000 0.5000 0.0000 1
W1 W 0.2298 0.7500 0.6250 1
W2 W 0.2500 0.2298 0.3750 1
W3 W 0.2500 0.2702 0.8750 1
W4 W 0.2702 0.7500 0.1250 1
W5 W 0.7298 0.2500 0.1250 1
W6 W 0.7500 0.7298 0.8750 1
W7 W 0.7500 0.7702 0.3750 1
W8 W 0.7702 0.2500 0.6250 1

No. 8
# GGA-PBE Cs8Ag2HgO, optimized geometry
# Mass density   3.44 g cm⁻³
# E_tot   -1.732 eV/atom
# ΔE_f (raw)   -0.249 eV/atom
data_Cs8Ag2HgO
_chemical_formula_sum 'Cs8 Ag2 Hg1 O1'
_cell_length_a 8.2116
_cell_length_b 8.9154
_cell_length_c 10.0309
_cell_angle_alpha 92.77
_cell_angle_beta 98.01
_cell_angle_gamma 95.96
_space_group_name_H-M_alt 'P 1'
_space_group_IT_number 1
loop_
_space_group_symop_operation_xyz
'x,y,z'
loop_
_atom_site_label
_atom_site_type_symbol
_atom_site_fract_x
_atom_site_fract_y
_atom_site_fract_z
_atom_site_occupancy
Cs1 Cs 0.1508 0.2282 0.4250 1
Cs2 Cs 0.2213 0.6898 0.3354 1
Cs3 Cs 0.2574 0.5807 0.7244 1
Cs4 Cs 0.2798 0.1228 0.9754 1
Cs5 Cs 0.7202 0.8772 0.0246 1
Cs6 Cs 0.7426 0.4193 0.2756 1
Cs7 Cs 0.7787 0.3102 0.6646 1
Cs8 Cs 0.8492 0.7718 0.5750 1
Ag1 Ag 0.4380 0.9737 0.6265 1
Ag2 Ag 0.5620 0.0263 0.3735 1
Hg1 Hg 0.0000 0.5000 0.0000 1
O1 O 0.0000 0.5000 0.5000 1

No. 9
# GGA-PBE CaAgN3, optimized geometry
# Mass density   4.51 g cm⁻³
# E_tot   -4.506 eV/atom
# ΔE_f (raw)   1.460 eV/atom
data_CaAgN3
_chemical_formula_sum 'Ca1 Ag1 N3'
_cell_length_a 4.1214
_cell_length_b 4.1214
_cell_length_c 4.1214
_cell_angle_alpha 90.00
_cell_angle_beta 90.00
_cell_angle_gamma 90.00
_space_group_name_H-M_alt 'P 1'
_space_group_IT_number 1
loop_
_space_group_symop_operation_xyz
'x,y,z'
loop_
_atom_site_label
_atom_site_type_symbol
_atom_site_fract_x
_atom_site_fract_y
_atom_site_fract_z
_atom_site_occupancy
Ca1 Ca 0.0000 0.0000 0.0000 1
Ag1 Ag 0.5000 0.5000 0.5000 1
N1 N 0.0000 0.5000 0.5000 1
N2 N 0.5000 0.0000 0.5000 1
N3 N 0.5000 0.5000 0.0000 1

No. 10
# GGA-PBE Al3Tl2CuF12, optimized geometry
# Mass density   5.04 g cm⁻³
# E_tot   -5.248 eV/atom
# ΔE_f (raw)   -2.886 eV/atom
data_Al3Tl2CuF12
_chemical_formula_sum 'Al3 Tl2 Cu1 F12'
_cell_length_a 7.1854
_cell_length_b 7.1854
_cell_length_c 7.1854
_cell_angle_alpha 59.15
_cell_angle_beta 59.15
_cell_angle_gamma 59.15
_space_group_name_H-M_alt 'P 1'
_space_group_IT_number 1
loop_
_space_group_symop_operation_xyz
'x,y,z'
loop_
_atom_site_label
_atom_site_type_symbol
_atom_site_fract_x
_atom_site_fract_y
_atom_site_fract_z
_atom_site_occupancy
Al1 Al 0.0000 0.5000 0.5000 1
Al2 Al 0.5000 0.0000 0.5000 1
Al3 Al 0.5000 0.5000 0.0000 1
Tl1 Tl 0.1334 0.1334 0.1334 1
Tl2 Tl 0.8666 0.8666 0.8666 1
Cu1 Cu 0.5000 0.5000 0.5000 1
F1 F 0.1105 0.5967 0.5967 1
F2 F 0.2062 0.2062 0.5794 1
F3 F 0.2062 0.5794 0.2062 1
F4 F 0.4033 0.4033 0.8895 1
F5 F 0.4033 0.8895 0.4033 1
F6 F 0.4206 0.7938 0.7938 1
F7 F 0.5794 0.2062 0.2062 1
F8 F 0.5967 0.1105 0.5967 1
F9 F 0.5967 0.5967 0.1105 1
F10 F 0.7938 0.4206 0.7938 1
F11 F 0.7938 0.7938 0.4206 1
F12 F 0.8895 0.4033 0.4033 1

No. 11
# GGA-PBE La3PrNd6, optimized geometry
# Mass density   6.56 g cm⁻³
# E_tot   -4.692 eV/atom
# Energy of formation from the pure elements   1.24 eV/f.u.
data_La3PrNd6
_chemical_formula_sum 'La6 Pr2 Nd12'
_cell_length_a 11.3529
_cell_length_b 11.3529
_cell_length_c 6.5026
_cell_angle_alpha 90.00
_cell_angle_beta 90.00
_cell_angle_gamma 120.69
_space_group_name_H-M_alt 'P 1'
_space_group_IT_number 1
loop_
_space_group_symop_operation_xyz
'x,y,z'
loop_
_atom_site_label
_atom_site_type_symbol
_atom_site_fract_x
_atom_site_fract_y
_atom_site_fract_z
_atom_site_occupancy
La1 La 0.1160 0.8840 0.5000 1
La2 La 0.2091 0.4431 0.8801 1
La3 La 0.4431 0.2091 0.3801 1
La4 La 0.5569 0.7909 0.8801 1
La5 La 0.7909 0.5569 0.3801 1
La6 La 0.8840 0.1160 0.0000 1
Pr1 Pr 0.3113 0.6887 0.5181 1
Pr2 Pr 0.6887 0.3113 0.0181 1
Nd1 Nd 0.0291 0.4465 0.2901 1
Nd2 Nd 0.1278 0.2119 0.4694 1
Nd3 Nd 0.2119 0.1278 0.9694 1
Nd4 Nd 0.2184 0.7816 0.0577 1
Nd5 Nd 0.4465 0.0291 0.7901 1
Nd6 Nd 0.4666 0.5334 0.2825 1
Nd7 Nd 0.5334 0.4666 0.7825 1
Nd8 Nd 0.5535 0.9709 0.2901 1
Nd9 Nd 0.7816 0.2184 0.5577 1
Nd10 Nd 0.7881 0.8722 0.4694 1
Nd11 Nd 0.8722 0.7881 0.9694 1
Nd12 Nd 0.9709 0.5535 0.7901 1

No. 12
# GGA-PBE Th2MnCuGe6, optimized geometry
# Mass density   8.58 g cm⁻³
# E_tot   -5.843 eV/atom
# Energy of formation from the pure elements   -2.62 eV/f.u.
data_Th2MnCuGe6
_chemical_formula_sum 'Th4 Mn2 Cu2 Ge12'
_cell_length_a 12.3262
_cell_length_b 12.3262
_cell_length_c 12.3262
_cell_angle_alpha 29.19
_cell_angle_beta 29.19
_cell_angle_gamma 29.19
_space_group_name_H-M_alt 'P 1'
_space_group_IT_number 1
loop_
_space_group_symop_operation_xyz
'x,y,z'
loop_
_atom_site_label
_atom_site_type_symbol
_atom_site_fract_x
_atom_site_fract_y
_atom_site_fract_z
_atom_site_occupancy
Th1 Th 0.1096 0.1096 0.1096 1
Th2 Th 0.2931 0.2931 0.2931 1
Th3 Th 0.7069 0.7069 0.7069 1
Th4 Th 0.8904 0.8904 0.8904 1
Mn1 Mn 0.0000 0.0000 0.0000 1
Mn2 Mn 0.5000 0.5000 0.5000 1
Cu1 Cu 0.4286 0.4286 0.4286 1
Cu2 Cu 0.5714 0.5714 0.5714 1
Ge1 Ge 0.0720 0.6626 0.6626 1
Ge2 Ge 0.2271 0.2271 0.6691 1
Ge3 Ge 0.2271 0.6690 0.2271 1
Ge4 Ge 0.3310 0.7729 0.7729 1
Ge5 Ge 0.3374 0.3374 0.9280 1
Ge6 Ge 0.3374 0.9280 0.3374 1
Ge7 Ge 0.6626 0.0720 0.6626 1
Ge8 Ge 0.6626 0.6626 0.0720 1
Ge9 Ge 0.6690 0.2271 0.2271 1
Ge10 Ge 0.7729 0.3309 0.7729 1
Ge11 Ge 0.7729 0.7729 0.3310 1
Ge12 Ge 0.9280 0.3374 0.3374 1